Zr2AlNi GGA-PBEsol relaxed; space group = No. 187; ΔH_f (0 K) = 0.18 eV per atom
1.0
2.915 0.000 0.000
-1.458 2.525 0.000
0.000 0.000 9.836
Zr Al Ni
2 1 1
Cartesian
0.000 0.000 2.451
0.000 0.000 7.385
1.458 0.842 0.000
0.000 0.000 4.918